Record 1
Here is MgSiBr2 after structural relaxation from Alexandria. Energies are from PBE-GGA.

The total magnetization is 0.00 μB per formula unit. As for the density of states at the Fermi level: 1.09 states/eV/cell. As for the crystal system: orthorhombic. The uncorrected formation energy comes out at -0.078 eV/atom. For the total DFT energy (no corrections), the calculation gives -2.669 eV/atom. The calculation puts the offset from the most stable computed form at 277 meV per atom.

The space group is Pmmm (No. 47) and the conventional cell measures 3.5022, 4.4236 and 6.2127 Å, with angles of 90.00, 90.00 and 90.00 degrees. The distinct sites, in fractional coordinates, are Mg at (0.0000, 0.0000, 0.0000), Si at (0.5000, 0.0000, 0.5000), Br at (0.0000, 0.5000, 0.5000) and Br at (0.5000, 0.5000, 0.0000).

=====

Record 2
Here is PrMoN2 after structural relaxation from Alexandria. Energies are from PBE-GGA.

The total magnetization is 0.00 μB per formula unit. As for the density of states at the Fermi level: 6.08 states/eV/cell. As for the crystal system: tetragonal. The uncorrected formation energy comes out at -0.493 eV/atom. For the total DFT energy (no corrections), the calculation gives -8.559 eV/atom.

The space group is I-4m2 (No. 119) and the conventional cell measures 3.1907, 3.1907 and 11.1709 Å, with angles of 90.00, 90.00 and 90.00 degrees. The distinct sites, in fractional coordinates, are Pr at (0.0000, 0.0000, 0.0000), Mo at (0.0000, 0.5000, 0.7500) and N at (0.0000, 0.0000, 0.3604).

=====

Record 3
Here is Li2TmAlSe4 after structural relaxation from Alexandria. Energies are from PBE-GGA.

The total magnetization is 0.00 μB per formula unit. As for the crystal system: orthorhombic. The uncorrected formation energy comes out at -1.312 eV/atom. For the total DFT energy (no corrections), the calculation gives -4.560 eV/atom.

The space group is Imma (No. 74) and the conventional cell measures 7.6368, 7.9579 and 11.0319 Å, with angles of 90.00, 90.00 and 90.00 degrees. The distinct sites, in fractional coordinates, are Li at (0.0000, 0.0000, 0.0000), Li at (0.2500, 0.2500, 0.2500), Tm at (0.0000, 0.0000, 0.5000), Al at (0.2500, 0.2500, 0.7500), Se at (0.0000, 0.0252, 0.7548) and Se at (0.2429, 0.2500, 0.9937).

=====

Record 4
Here is In3Hg5Pb12 after structural relaxation from Alexandria. Energies are from PBE-GGA.

The total magnetization is 0.00 μB per formula unit. As for the density of states at the Fermi level: 73.65 states/eV/cell. As for the crystal system: cubic. For the total DFT energy (no corrections), the calculation gives -2.567 eV/atom. The formation energy comes out at 0.1440 eV per atom.

The space group is Ia-3d (No. 230) and the conventional cell measures 17.9484, 17.9484 and 17.9484 Å, with angles of 90.00, 90.00 and 90.00 degrees. The distinct sites, in fractional coordinates, are In at (0.0000, 0.2500, 0.1250), Hg at (0.0000, 0.0000, 0.0000), Hg at (0.0000, 0.2500, 0.3750) and Pb at (0.0152, 0.0790, 0.6495).